[1]
GGA-PBEsol Zr2ScCo, relaxed; size of the total moment = 0.00 μB per formula unit; energy above the most stable polymorph in this dataset = 0.001 eV/atom; density of states at the Fermi level = 3.30 states/eV/f.u.; DFT formation energy = -3.335 kcal/mol of atoms
1.0
-2.6865 -1.5094 1.1153
2.4837 -4.0958 0.4398
1.2815 3.9970 3.6816
Sc Zr Co
1 2 1
Direct
0.0000 0.5000 0.0000
0.2080 0.2080 0.4160
0.7920 0.7920 0.5840
0.5000 0.0000 0.0000

[2]
GGA-PBEsol La2PSe, relaxed; size of the total moment = 0.00 μB per formula unit; formation energy (no corrections) = -42.37 kcal/mol of atoms; energy above the most stable polymorph in this dataset = 0.024 eV/atom; density of states at the Fermi level = 1.55 states/eV/f.u.
1.0
4.2394 0.0000 0.0000
0.0000 4.2394 0.0000
0.0000 0.0000 5.9790
La Se P
2 1 1
Direct
0.0000 0.0000 0.5000
0.5000 0.5000 0.0000
0.5000 0.5000 0.5000
0.0000 0.0000 0.0000

[3]
GGA-PBEsol BaReSbI2, relaxed; size of the total moment = 3.50 μB per formula unit; formation energy (no corrections) = 30.05 kcal/mol of atoms; density of states at the Fermi level = 2.81 states/eV/f.u.
1.0
-1.8954 3.0593 5.3311
5.2279 -2.1315 3.0819
3.4040 5.5192 -1.9570
Sb Re Ba I
1 1 1 2
Direct
0.0000 0.0000 0.5000
0.5000 0.5000 0.5000
0.0000 0.0000 0.0000
0.5000 0.0000 0.0000
0.0000 0.5000 0.0000

[4]
GGA-PBEsol NiAg2As, relaxed; size of the total moment = 0.00 μB per formula unit; density of states at the Fermi level = 2.41 states/eV/f.u.; DFT formation energy = 3.854 kcal/mol of atoms
1.0
2.9468 0.0000 0.0000
0.0000 4.4948 -0.0303
-1.4734 -1.0059 4.6028
Ni As Ag
1 1 2
Direct
0.5000 0.0000 0.0000
0.0000 0.5000 0.0000
0.2402 0.2419 0.4805
0.7598 0.7581 0.5195